The following is a DFT calculation (PBE) of crystalline NaZrIr3 at its relaxed geometry.

Unit cell a=4.9406 b=4.9406 c=4.9406 alpha=90.00 beta=90.00 gamma=90.00
With the nearest neighbours (Å) after each atom.
Space group Pm-3m (No. 221)
One atom of each set of equivalent atoms:
Na 0.0000 0.0000 0.0000  12 Ir 3.49
Zr 0.5000 0.5000 0.5000  6 Ir 2.47
Ir 0.0000 0.5000 0.5000  2 Zr 2.47

Results
Excess energy over the best structure of this formula in the dataset: 0.000 eV per atom
Total moment: 1.05 μB per formula unit
E_form: 6.325 eV/f.u.

=====

The following is a DFT calculation (PBE) of crystalline PbBr3F12 at its relaxed geometry.

Unit cell a=11.5499 b=11.5499 c=17.4466 alpha=90.00 beta=90.00 gamma=120.00
With the nearest neighbours (Å) after each atom.
Space group R3c (No. 161, hexagonal axes)
One atom of each set of equivalent atoms:
Pb 0.0000 0.0000 0.0000  6 F 2.44
Br 0.0033 0.3417 0.4183  4 F 1.84-2.00
F 0.0398 0.5162 0.4141  1 Br 1.84
F 0.0528 0.1941 0.0794  1 Br 2.00
F 0.1821 0.3961 0.4239  1 Br 1.84
F 0.1816 0.4752 0.0879  1 Br 1.99

Results
Total moment: 1.03 μB per formula unit
ΔE_f (raw): -1198 meV per atom

=====

The following is a DFT calculation (PBE) of crystalline Rb4TbPr3Se8 at its relaxed geometry.

Unit cell a=8.7454 b=8.7454 c=24.0794 alpha=90.00 beta=90.00 gamma=120.00
With the nearest neighbours (Å) after each atom.
Space group R-3m (No. 166, hexagonal axes)
One atom of each set of equivalent atoms:
Rb 0.0000 0.0000 0.0000  6 Se 3.53
Rb 0.0000 0.5000 0.0000  6 Se 3.47
Tb 0.0000 0.0000 0.5000  6 Se 2.94
Pr 0.0000 0.5000 0.5000  6 Se 3.01-3.02
Se 0.0000 0.0000 0.2344  3 Pr 3.01
Se 0.0078 0.5039 0.2332  1 Tb 2.94, 2 Pr 3.02

Results
Total moment: 0.00 μB per formula unit
ΔE_f (raw): -1732 meV per atom

=====

The following is a DFT calculation (PBE) of crystalline Hf2GeTe2 at its relaxed geometry.

Unit cell a=7.7631 b=7.7631 c=3.8037 alpha=90.00 beta=90.00 gamma=90.00
With the nearest neighbours (Å) after each atom.
Space group P4/mbm (No. 127)
One atom of each set of equivalent atoms:
Hf 0.1492 0.3508 0.0000  6 Te 2.94-2.98, 2 Ge 2.96, 1 Hf 3.28
Ge 0.0000 0.0000 0.0000  4 Hf 2.96
Te 0.1470 0.6470 0.5000  6 Hf 2.94-2.98, 1 Te 3.23

Results
Total moment: 0.00 μB per formula unit
ΔE_f (raw): -398 meV per atom

=====

The following is a DFT calculation (PBE) of crystalline Ce2Th3In3 at its relaxed geometry.

Unit cell a=4.8859 b=4.9144 c=9.6010 alpha=90.00 beta=90.00 gamma=90.00
With the nearest neighbours (Å) after each atom.
Space group Pmmm (No. 47)
One atom of each set of equivalent atoms:
Ce 0.0000 0.0000 0.2436  6 In 3.38-3.48, 6 Th 3.46-3.47
Th 0.5000 0.0000 0.5000  4 In 3.46, 4 Ce 3.47, 4 Th 3.47
Th 0.5000 0.5000 0.2443  6 In 3.39-3.46, 4 Ce 3.46, 2 Th 3.47
In 0.0000 0.5000 0.0000  4 Th 3.39, 4 Ce 3.39, 4 In 3.46
In 0.0000 0.5000 0.5000  8 Th 3.46, 4 Ce 3.48
In 0.5000 0.0000 0.0000  4 Ce 3.38, 4 Th 3.40, 4 In 3.46

Results
Total moment: 1.20 μB per formula unit
E_form: -1.740 eV/f.u.

=====

The following is a DFT calculation (PBE) of crystalline NdHfPd2 at its relaxed geometry.

Unit cell a=4.6104 b=4.6104 c=14.5853 alpha=90.00 beta=90.00 gamma=120.00
With the nearest neighbours (Å) after each atom.
Space group R-3m (No. 166, hexagonal axes)
One atom of each set of equivalent atoms:
Nd 0.0000 0.0000 0.0000  8 Pd 3.11-3.19
Hf 0.0000 0.0000 0.5000  6 Pd 2.75
Pd 0.0000 0.0000 0.2130  3 Hf 2.75, 3 Pd 2.99

Results
Excess energy over the best structure of this formula in the dataset: 0.043 eV per atom
Total moment: 0.00 μB per formula unit
E_form: -2.597 eV/f.u.

=====

The following is a DFT calculation (PBE) of crystalline Li3PmAu2 at its relaxed geometry.

Unit cell a=14.4175 b=4.1548 c=9.1933 alpha=90.00 beta=123.02 gamma=90.00
With the nearest neighbours (Å) after each atom.
Space group C2/m (No. 12)
One atom of each set of equivalent atoms:
Li 0.0633 0.0000 0.4048  3 Au 2.63-2.78, 5 Li 2.67-2.90
Li 0.0734 0.5000 0.6843  3 Au 2.61-2.76, 3 Li 2.67-2.85
Li 0.2278 0.5000 0.5707  6 Li 2.71-2.93, 3 Au 2.79
Pm 0.1291 0.0000 0.0095  7 Au 3.08-3.25, 4 Li 3.24-3.36
Au 0.0745 0.5000 0.2134  4 Li 2.76-2.79, 1 Au 3.08
Au 0.1987 0.0000 0.7449  5 Li 2.61-2.79

Results
Total moment: 0.00 μB per formula unit
E_form: -3.065 eV/f.u.

=====

The following is a DFT calculation (PBE) of crystalline InTc2W at its relaxed geometry.

Unit cell a=2.8678 b=2.8678 c=8.0140 alpha=90.00 beta=90.00 gamma=90.00
With the nearest neighbours (Å) after each atom.
Space group P4mm (No. 99)
One atom of each set of equivalent atoms:
In 0.0000 0.0000 0.0000  4 In 2.87, 4 Tc 2.95, 4 W 3.04
Tc 0.0000 0.0000 0.4779  8 Tc 2.64-2.87, 4 W 2.79
Tc 0.5000 0.5000 0.2672  8 Tc 2.64-2.87, 4 In 2.95
W 0.5000 0.5000 0.7172  4 Tc 2.79, 4 W 2.87, 4 In 3.04

Results
Total moment: 0.00 μB per formula unit
E_form: 0.961 eV/f.u.

=====

The following is a DFT calculation (PBE) of crystalline CoRhAu2 at its relaxed geometry.

Unit cell a=6.3173 b=6.3173 c=6.3173 alpha=90.00 beta=90.00 gamma=90.00
With the nearest neighbours (Å) after each atom.
Space group F-43m (No. 216)
One atom of each set of equivalent atoms:
Co 0.0000 0.0000 0.0000  4 Au 2.74, 4 Rh 2.74
Rh 0.2500 0.2500 0.7500  4 Co 2.74, 4 Au 2.74
Au 0.0000 0.0000 0.5000  4 Rh 2.74, 4 Au 2.74
Au 0.2500 0.2500 0.2500  4 Co 2.74, 4 Au 2.74

Results
Excess energy over the best structure of this formula in the dataset: 0.203 eV per atom
Total moment: 2.71 μB per formula unit
E_form: 1.213 eV/f.u.

=====

The following is a DFT calculation (PBE) of crystalline Ag2AuSe at its relaxed geometry.

Unit cell a=3.1270 b=3.1270 c=26.9001 alpha=90.00 beta=90.00 gamma=120.00
With the nearest neighbours (Å) after each atom.
Space group R-3m (No. 166, hexagonal axes)
One atom of each set of equivalent atoms:
Ag 0.0000 0.0000 0.2504  3 Se 2.87, 3 Au 2.89, 6 Ag 3.13
Au 0.0000 0.0000 0.5000  6 Ag 2.89, 6 Au 3.13
Se 0.0000 0.0000 0.0000  6 Ag 2.87, 6 Se 3.13

Results
Total moment: 0.00 μB per formula unit
ΔE_f (raw): 135 meV per atom

=====

The following is a DFT calculation (PBE) of crystalline Li2SbBr6 at its relaxed geometry.

Unit cell a=6.8715 b=6.5851 c=13.5432 alpha=90.00 beta=120.41 gamma=90.00
With the nearest neighbours (Å) after each atom.
Space group P2_1/c (No. 14)
One atom of each set of equivalent atoms:
Li 0.1665 0.0022 0.1669  6 Br 2.70-2.92
Sb 0.5000 0.0000 0.0000  6 Br 2.72-2.74
Br 0.1587 0.2300 0.8349  2 Li 2.70-2.90, 1 Sb 2.74
Br 0.1752 0.7337 0.5007  1 Sb 2.72, 2 Li 2.76
Br 0.4874 0.2331 0.1638  2 Li 2.70-2.92, 1 Sb 2.73

Results
Excess energy over the best structure of this formula in the dataset: 0.000 eV per atom
Total moment: 0.00 μB per formula unit
ΔE_f (raw): -910 meV per atom

=====

The following is a DFT calculation (PBE) of crystalline GaCuNiPd at its relaxed geometry.

Unit cell a=3.9005 b=3.9005 c=6.8712 alpha=90.00 beta=90.00 gamma=90.00
With the nearest neighbours (Å) after each atom.
Space group I-4m2 (No. 119)
One atom of each set of equivalent atoms:
Ga 0.0000 0.0000 0.0000  4 Ni 2.60, 4 Pd 2.60, 4 Cu 2.76
Cu 0.0000 0.0000 0.5000  4 Ni 2.60, 4 Pd 2.60, 4 Ga 2.76
Ni 0.0000 0.5000 0.2500  4 Cu 2.60, 4 Ga 2.60, 4 Pd 2.76
Pd 0.0000 0.5000 0.7500  4 Cu 2.60, 4 Ga 2.60, 4 Ni 2.76

Results
Excess energy over the best structure of this formula in the dataset: 0.000 eV per atom
Total moment: 0.00 μB per formula unit
E_form: -1.378 eV/f.u.